[1]
First-principles (PBE-GGA) data for crystalline LaTi2Ir2 at its relaxed geometry, as listed in Alexandria.

Cell: 4.312 4.312 6.233 Å, 69.77 69.77 90.00°
Fractional coordinates of all 5 atoms:
Ir1 0.624 0.624 0.753
Ir2 0.376 0.376 0.247
Ti1 0.750 0.250 0.500
Ti2 0.250 0.750 0.500
La1 0.000 0.000 0.000

* Fermi-level density of states: 5.23 states/eV/cell
* raw total energy: -42.431 eV per cell
* E_form: -798 meV per atom
* V: 101 Å³/f.u.
* energy above the lowest structure with this stoichiometry: 0.000 eV/atom


[2]
First-principles (PBE-GGA) data for crystalline SmDy2ThN4 at its relaxed geometry, as listed in Alexandria.

Cell: 3.559 6.147 6.144 Å, 109.35 90.00 90.00°
Fractional coordinates of all 8 atoms:
Dy1 0.500 0.000 0.500
Dy2 0.000 0.500 0.500
N1 0.000 0.756 0.255
N2 0.500 0.752 0.746
N3 0.000 0.244 0.745
N4 0.500 0.248 0.254
Th1 0.000 0.000 0.000
Sm1 0.500 0.500 0.000

* Fermi-level density of states: 1.74 states/eV/cell
* raw total energy: -67.674 eV per cell
* raw formation energy: -13.0 eV per formula unit
* V: 127 Å³/f.u.


[3]
First-principles (PBE-GGA) data for crystalline AgPd2Pt5 at its relaxed geometry, as listed in Alexandria.

Cell: 3.894 5.681 11.415 Å, 90.00 90.00 90.00°
Fractional coordinates of all 16 atoms:
Ag1 0.000 0.000 0.500
Ag2 0.000 0.500 0.000
Pt1 0.000 0.000 0.000
Pt2 0.000 0.490 0.752
Pt3 0.500 0.737 0.630
Pt4 0.500 0.763 0.130
Pt5 0.000 0.500 0.500
Pt6 0.000 0.010 0.252
Pt7 0.000 0.510 0.248
Pt8 0.000 0.990 0.748
Pt9 0.500 0.263 0.370
Pt10 0.500 0.237 0.870
Pd1 0.500 0.754 0.377
Pd2 0.500 0.246 0.623
Pd3 0.500 0.254 0.123
Pd4 0.500 0.746 0.877

* Fermi-level density of states: 29.95 states/eV/cell
* raw total energy: -86.864 eV per cell
* E_form: 1 meV per atom
* V: 126 Å³/f.u.